# PBE-GGA Co2WAu, relaxed
# Energy above the most stable polymorph in this dataset (meV/atom): 123
# Magnetization (μB per formula unit): 1.980
# V (Å³/f.u.): 56.5
data_Co2WAu
_chemical_formula_sum 'Co2 W1 Au1'
_cell_length_a 4.478
_cell_length_b 4.478
_cell_length_c 4.904
_cell_angle_alpha 80.52
_cell_angle_beta 80.52
_cell_angle_gamma 35.68
_symmetry_space_group_name_H-M 'P 1'
_symmetry_Int_Tables_number 1
loop_
_symmetry_equiv_pos_as_xyz
'x,y,z'
loop_
_atom_site_label
_atom_site_type_symbol
_atom_site_fract_x
_atom_site_fract_y
_atom_site_fract_z
Au1 Au 0.250 0.250 0.250
Co1 Co 0.005 0.005 0.963
Co2 Co 0.495 0.495 0.537
W1 W 0.750 0.750 0.750